Record 1
ZrCdIrRu: relaxed, PBE-GGA.

a b c (Å): 4.6033 4.6033 4.6033
angles (deg): 60.00 60.00 60.00
Sites, in units of the cell vectors:
1 Ru 0.7500 0.7500 0.7500
2 Zr 0.0000 0.0000 0.0000
3 Cd 0.5000 0.5000 0.5000
4 Ir 0.2500 0.2500 0.2500

Calculated values
The formation energy comes out at -27.7 kJ/mol of atoms.

***

Record 2
CdIrS2: relaxed, PBE-GGA.

a b c (Å): 7.9808 7.9808 7.9808
angles (deg): 25.88 25.88 25.88
Sites, in units of the cell vectors:
1 S 0.1158 0.1158 0.1158
2 Ir 0.5000 0.5000 0.5000
3 Cd 0.0000 0.0000 0.0000
4 S 0.8842 0.8842 0.8842

Calculated values
The calculation puts the energy relative to the elements, uncorrected at -0.24 eV/atom.

***

Record 3
CdIrS2: relaxed, PBE-GGA.

a b c (Å): 5.6116 5.6116 6.9056
angles (deg): 66.03 66.03 90.00
Sites, in units of the cell vectors:
1 Cd 0.5000 0.5000 0.0000
2 S 0.3750 0.3261 0.7500
3 Ir 0.7500 0.2500 0.5000
4 S 0.8750 0.9239 0.7500
5 Ir 0.0000 0.0000 0.0000
6 Cd 0.2500 0.7500 0.5000
7 S 0.6739 0.1250 0.2500
8 S 0.0761 0.6250 0.2500

Calculated values
The calculation puts the energy relative to the elements, uncorrected at -0.09 eV/atom.

***

Record 4
Sc2CdIrS: relaxed, PBE-GGA.

a b c (Å): 5.2931 4.4996 5.2931
angles (deg): 90.00 90.00 90.00
Sites, in units of the cell vectors:
1 Sc 0.5000 0.0000 0.0000
2 Ir 0.5000 0.5000 0.5000
3 S 0.0000 0.5000 0.0000
4 Cd 0.0000 0.0000 0.0000
5 Sc 0.0000 0.0000 0.5000

Calculated values
The calculation puts the energy relative to the elements, uncorrected at 0.99 eV/atom.

***

Number 1: size of the total moment 0.00 μB/cell, energy -28.75 eV per cell. Number 2: size of the total moment 0.00 μB/cell, energy -19.00 eV per cell. Number 3: size of the total moment 0.00 μB/cell, energy -36.76 eV per cell. Number 4: size of the total moment 0.00 μB/cell, energy -21.60 eV per cell.